<P>
First-principles (PBE) data for a relaxed InNi3H crystal, as listed in Alexandria via LeMat-Bulk.

Cell: 3.773 3.773 3.773 Å, 90.00 90.00 90.00°
Space group Pm-3m (No. 221)
Asymmetric unit:
In1 0.000 0.000 0.000 [1 per cell]
Ni1 0.000 0.500 0.500 [3 per cell]
H1 0.500 0.500 0.500 [1 per cell]


<Q>
First-principles (PBE) data for a relaxed InNi3H crystal, as listed in Alexandria via LeMat-Bulk.

Cell: 9.297 5.298 4.687 Å, 90.00 109.48 90.00°
Space group Cm (No. 8)
Asymmetric unit:
In1 0.000 0.000 0.000 [2 per cell]
In2 0.234 0.500 0.425 [2 per cell]
Ni1 0.244 0.244 0.943 [4 per cell]
Ni2 0.258 0.000 0.463 [2 per cell]
Ni3 0.489 0.000 0.947 [2 per cell]
Ni4 0.495 0.244 0.480 [4 per cell]
H1 0.132 0.000 0.641 [2 per cell]
H2 0.368 0.000 0.189 [2 per cell]


Energy above the most stable structure, in meV per atom: <P> 0; <Q> 75


<P>
First-principles (PBE) data for a relaxed InNi3H crystal, as listed in Alexandria via LeMat-Bulk.

Cell: 4.856 6.587 7.286 Å, 90.00 90.00 90.00°
Space group Pnma (No. 62)
Asymmetric unit:
In1 0.000 0.000 0.000 [4 per cell]
Ni1 0.002 0.072 0.348 [8 per cell]
Ni2 0.248 0.250 0.748 [4 per cell]
H1 0.003 0.750 0.418 [4 per cell]


<Q>
First-principles (PBE) data for a relaxed InNi3H crystal, as listed in Alexandria via LeMat-Bulk.

Cell: 9.855 9.855 9.855 Å, 90.00 90.00 90.00°
Space group Fd-3m (No. 227, origin choice 2)
Asymmetric unit:
In1 0.000 0.000 0.000 [16 per cell]
Ni1 0.057 0.375 0.875 [48 per cell]
H1 0.000 0.000 0.500 [16 per cell]


Energy above the most stable structure, in meV per atom: <P> 73; <Q> 0


<P>
First-principles (PBE) data for a relaxed InNi3H crystal, as listed in Alexandria via LeMat-Bulk.

Cell: 6.872 4.779 6.832 Å, 90.00 100.96 90.00°
Space group P2_1/c (No. 14)
Asymmetric unit:
In1 0.095 0.113 0.196 [4 per cell]
Ni1 0.197 0.602 0.065 [4 per cell]
Ni2 0.326 0.062 0.935 [4 per cell]
Ni3 0.453 0.595 0.818 [4 per cell]
H1 0.441 0.734 0.069 [4 per cell]


<Q>
First-principles (PBE) data for a relaxed InNi3H crystal, as listed in Alexandria via LeMat-Bulk.

Cell: 4.734 4.734 4.734 Å, 90.00 90.00 90.00°
Space group Pm-3m (No. 221)
Asymmetric unit:
In1 0.000 0.000 0.000 [1 per cell]
Ni1 0.000 0.000 0.500 [3 per cell]
H1 0.500 0.500 0.500 [1 per cell]


Energy above the most stable structure, in meV per atom: <P> 0; <Q> 1773